# RuW2Se PBE relaxed
data_RuW2Se
_chemical_formula_sum 'Ru2 W4 Se2'
_cell_length_a 5.816
_cell_length_b 5.816
_cell_length_c 6.712
_cell_angle_alpha 64.33
_cell_angle_beta 64.33
_cell_angle_gamma 90.00
_symmetry_space_group_name_H-M 'P 1'
_symmetry_Int_Tables_number 1
_symmetry_space_group_name_Hall 'P 1'
loop_
_atom_site_label
_atom_site_type_symbol
_atom_site_fract_x
_atom_site_fract_y
_atom_site_fract_z
Ru1 Ru 0.750 0.250 0.500
Ru2 Ru 0.000 0.000 0.000
W1 W 0.375 0.366 0.750
W2 W 0.875 0.884 0.750
W3 W 0.634 0.125 0.250
W4 W 0.116 0.625 0.250
Se1 Se 0.500 0.500 0.000
Se2 Se 0.250 0.750 0.500
# spin magnetization: 0.0 Bohr magnetons per cell
# uncorrected formation energy: 1112 meV/atom
# total DFT energy (no corrections): -8.55 eV per atom
# space group: I-42d (122)



# RuWSe2 PBE relaxed
data_RuWSe2
_chemical_formula_sum 'Ru1 W1 Se2'
_cell_length_a 9.955
_cell_length_b 9.955
_cell_length_c 9.955
_cell_angle_alpha 17.65
_cell_angle_beta 17.65
_cell_angle_gamma 17.65
_symmetry_space_group_name_H-M 'P 1'
_symmetry_Int_Tables_number 1
_symmetry_space_group_name_Hall 'P 1'
loop_
_atom_site_label
_atom_site_type_symbol
_atom_site_fract_x
_atom_site_fract_y
_atom_site_fract_z
Ru1 Ru 0.753 0.753 0.753
W1 W 0.496 0.496 0.496
Se1 Se 0.224 0.224 0.224
Se2 Se 0.027 0.027 0.027
# spin magnetization: 0.0 Bohr magnetons per cell
# uncorrected formation energy: -11 meV/atom
# total DFT energy (no corrections): -7.31 eV per atom
# space group: R3m (160)
# E above lowest polymorph: 7.8 kJ/mol of formula units



# RuWSe2 PBE relaxed
data_RuWSe2
_chemical_formula_sum 'Ru1 W1 Se2'
_cell_length_a 3.084
_cell_length_b 3.084
_cell_length_c 8.211
_cell_angle_alpha 90.00
_cell_angle_beta 90.00
_cell_angle_gamma 119.86
_symmetry_space_group_name_H-M 'P 1'
_symmetry_Int_Tables_number 1
_symmetry_space_group_name_Hall 'P 1'
loop_
_atom_site_label
_atom_site_type_symbol
_atom_site_fract_x
_atom_site_fract_y
_atom_site_fract_z
W1 W 0.500 0.500 0.250
Se1 Se 0.000 0.000 0.504
Se2 Se 0.000 0.000 0.996
Ru1 Ru 0.500 0.500 0.750
# spin magnetization: 0.0 Bohr magnetons per cell
# uncorrected formation energy: 758 meV/atom
# total DFT energy (no corrections): -6.54 eV per atom
# space group: Cmmm (65)
# E above lowest polymorph: 304.3 kJ/mol of formula units



# RuWSe2 PBE relaxed
data_RuWSe2
_chemical_formula_sum 'Ru1 W1 Se2'
_cell_length_a 4.293
_cell_length_b 4.040
_cell_length_c 4.046
_cell_angle_alpha 81.32
_cell_angle_beta 90.00
_cell_angle_gamma 90.00
_symmetry_space_group_name_H-M 'P 1'
_symmetry_Int_Tables_number 1
_symmetry_space_group_name_Hall 'P 1'
loop_
_atom_site_label
_atom_site_type_symbol
_atom_site_fract_x
_atom_site_fract_y
_atom_site_fract_z
Se1 Se 0.000 0.001 0.001
Se2 Se 0.000 0.499 0.499
W1 W 0.500 0.250 0.250
Ru1 Ru 0.500 0.750 0.750
# spin magnetization: 0.0 Bohr magnetons per cell
# uncorrected formation energy: 649 meV/atom
# total DFT energy (no corrections): -6.65 eV per atom
# space group: Cmmm (65)
# E above lowest polymorph: 262.4 kJ/mol of formula units